Compound: Sn2BiPb
Source: Alexandria
Functional: PBE
Structure: relaxed

Cell and atoms, written as POSCAR:
```
Sn2BiPb
1.0
3.3940 0.0000 0.0000
0.0000 5.1565 0.0000
-0.2583 0.0000 6.8313
Sn Bi Pb
2 1 1
direct
0.0105 0.0000 0.2544
0.9895 0.0000 0.7456
0.5000 0.5000 0.5000
0.5000 0.5000 0.0000
```

V   119.6 Å³/f.u.
Total energy   -3.835 eV/atom
E above lowest polymorph   0 meV per atom
Formation energy   0.06 eV/atom